The following is a PBE+U calculation of crystalline PuMgCo2O6 at its relaxed geometry, from Alexandria.

Output
Volume (Å³/cell): 143
Uncorrected energy (eV/cell): -71.3

Geometry as CIF:
```
data_PuMgCo2O6
_chemical_formula_sum 'Pu1 Mg1 Co2 O6'
_cell_length_a 5.8760
_cell_length_b 5.8760
_cell_length_c 4.1314
_cell_angle_alpha 90.00
_cell_angle_beta 90.00
_cell_angle_gamma 90.00
_space_group_name_H-M_alt 'P 4 m m'
_space_group_IT_number 99
loop_
_space_group_symop_operation_xyz
'x,y,z'
'-y,x,z'
'-x,-y,z'
'y,-x,z'
'-x,y,z'
'y,x,z'
'x,-y,z'
'-y,-x,z'
loop_
_atom_site_label
_atom_site_fract_x
_atom_site_fract_y
_atom_site_fract_z
Pu1 0.0000 0.0000 0.0000
Mg1 0.5000 0.5000 0.9769
Co1 0.0000 0.5000 0.1196
O1 0.0000 0.0000 0.5037
O2 0.2503 0.2503 0.0337
O3 0.5000 0.5000 0.4837
```